[1]
The following is a DFT calculation (PBE) of a geometry-optimized Rb3La2TbSe6 structure.

Cell: 7.6233 7.6233 8.3963 Å, 98.71 98.71 120.00°
Fractional coordinates of all 12 atoms:
Rb1 0.1679 0.8321 0.5000
Rb2 0.8321 0.1679 0.5000
Rb3 0.5000 0.5000 0.5000
La1 0.3335 0.6665 0.0000
La2 0.6665 0.3335 0.0000
Tb1 0.0000 0.0000 0.0000
Se1 0.9335 0.6104 0.8004
Se2 0.7437 0.7437 0.1998
Se3 0.0665 0.3896 0.1996
Se4 0.6104 0.9335 0.8004
Se5 0.2563 0.2563 0.8002
Se6 0.3896 0.0665 0.1996

Values from the calculation:
DOS at the Fermi energy: 0.0 states/eV/f.u.
Space-group type: C2/m
Mass density: 4.812 g cm⁻³
Total DFT energy (no corrections): -59.75 eV per cell
Total magnetization: 0.00 μB per formula unit
Formation energy (no corrections): -1.79 eV per atom

[2]
The following is a DFT calculation (PBE) of a geometry-optimized Y3Er6Tm structure.

Cell: 8.8248 8.9817 8.9817 Å, 117.74 90.00 90.00°
Fractional coordinates of all 20 atoms:
Y1 0.4230 0.9729 0.6753
Y2 0.9230 0.6753 0.9729
Y3 0.4112 0.5497 0.4503
Y4 0.9112 0.4503 0.5497
Y5 0.9230 0.0271 0.3247
Y6 0.4230 0.3247 0.0271
Er1 0.0976 0.8129 0.6981
Er2 0.5976 0.6981 0.8129
Er3 0.2738 0.5295 0.8235
Er4 0.7738 0.8235 0.5295
Er5 0.2863 0.9461 0.0539
Er6 0.6655 0.2829 0.7171
Er7 0.1655 0.7171 0.2829
Er8 0.7863 0.0539 0.9461
Er9 0.2738 0.1765 0.4705
Er10 0.7738 0.4705 0.1765
Er11 0.0976 0.3019 0.1871
Er12 0.5976 0.1871 0.3019
Tm1 0.0334 0.2202 0.7798
Tm2 0.5334 0.7798 0.2202

Values from the calculation:
DOS at the Fermi energy: 12.2 states/eV/f.u.
Space-group type: Cmc2_1
Mass density: 7.586 g cm⁻³
Total DFT energy (no corrections): -99.81 eV per cell
Total magnetization: 0.00 μB per formula unit
Energy relative to the elements: 134 meV per atom
Energy above the most stable polymorph in this dataset: 0.000 eV per atom

[3]
The following is a DFT calculation (PBE) of a geometry-optimized CoRe3 structure.

Cell: 4.8245 4.8245 4.8245 Å, 90.00 90.00 90.00°
Fractional coordinates of all 8 atoms:
Co1 0.0000 0.0000 0.0000
Co2 0.5000 0.5000 0.5000
Re1 0.0000 0.2500 0.5000
Re2 0.0000 0.7500 0.5000
Re3 0.2500 0.5000 0.0000
Re4 0.5000 0.0000 0.2500
Re5 0.5000 0.0000 0.7500
Re6 0.7500 0.5000 0.0000

Values from the calculation:
DOS at the Fermi energy: 2.5 states/eV/f.u.
Space-group type: Pm-3n
Mass density: 18.264 g cm⁻³
Total DFT energy (no corrections): -87.87 eV per cell
Total magnetization: 0.01 μB per formula unit
Energy relative to the elements: 129 meV per atom

[4]
The following is a DFT calculation (PBE) of a geometry-optimized Mg2In5Ga structure.

Cell: 3.1550 11.0250 11.9703 Å, 90.00 90.00 98.23°
Fractional coordinates of all 16 atoms:
Mg1 0.9068 0.8137 0.3749
Mg2 0.9068 0.8137 0.1251
Mg3 0.0932 0.1863 0.6251
Mg4 0.0932 0.1863 0.8749
In1 0.9549 0.9097 0.8828
In2 0.9549 0.9097 0.6172
In3 0.3160 0.6320 0.5250
In4 0.3160 0.6320 0.9750
In5 0.7835 0.5671 0.2500
In6 0.2165 0.4329 0.7500
In7 0.6840 0.3680 0.4750
In8 0.6840 0.3680 0.0250
In9 0.0451 0.0903 0.1172
In10 0.0451 0.0903 0.3828
Ga1 0.8372 0.6745 0.7500
Ga2 0.1628 0.3255 0.2500

Values from the calculation:
DOS at the Fermi energy: 3.7 states/eV/f.u.
Space-group type: Cmcm
Mass density: 5.580 g cm⁻³
Total DFT energy (no corrections): -38.81 eV per cell
Total magnetization: 0.00 μB per formula unit
Energy relative to the elements: 63 meV per atom
Energy above the most stable polymorph in this dataset: 0.088 eV per atom

[5]
The following is a DFT calculation (PBE) of a geometry-optimized NbAgOs2O structure.

Cell: 4.8306 5.0429 4.8306 Å, 90.00 90.00 90.00°
Last column: magnetic moment on the atom in μB.
Fractional coordinates of all 5 atoms:
Nb1 0.0000 0.5000 0.0000  -1.85
Os1 0.0000 0.0000 0.5000  2.49
Os2 0.5000 0.0000 0.0000  1.81
O1 0.5000 0.5000 0.5000  0.96
Ag1 0.0000 0.0000 0.0000  0.06

Values from the calculation:
DOS at the Fermi energy: 4.8 states/eV/f.u.
Space-group type: P4/mmm
Mass density: 8.428 g cm⁻³
Total DFT energy (no corrections): -25.09 eV per cell
Total magnetization: 3.55 μB per formula unit
Formation energy (no corrections): 3.05 eV per atom

[6]
The following is a DFT calculation (PBE) of a geometry-optimized CsZr3Pb structure.

Cell: 5.6484 5.6484 5.6484 Å, 90.00 90.00 90.00°
Last column: magnetic moment on the atom in μB.
Fractional coordinates of all 5 atoms:
Pb1 0.0000 0.0000 0.0000  0.02
Cs1 0.5000 0.5000 0.5000  0.05
Zr1 0.0000 0.5000 0.0000  0.45
Zr2 0.0000 0.0000 0.5000  0.62
Zr3 0.5000 0.0000 0.0000  0.46

Values from the calculation:
DOS at the Fermi energy: 8.8 states/eV/f.u.
Space-group type: Pm-3m
Mass density: 5.656 g cm⁻³
Total DFT energy (no corrections): -23.79 eV per cell
Total magnetization: 2.79 μB per formula unit
Energy relative to the elements: 1284 meV per atom
Energy above the most stable polymorph in this dataset: 0.000 eV per atom